GdYAsO (GGA-PBE, relaxed); DFT total energy = -7.151 eV per atom; energy relative to the lowest polymorph listed for this composition = 0.0000 eV per atom
1.0
4.184 0.000 0.000
0.000 7.645 0.000
0.000 0.000 5.942
Y O Gd As
2 2 2 2
Direct
0.500 0.887 0.008
0.500 0.113 0.508
0.500 0.831 0.378
0.500 0.169 0.878
0.000 0.290 0.938
0.000 0.710 0.438
0.000 0.661 0.930
0.000 0.339 0.430